VASP calculation (PBE) on Ag2Sn2As after structural relaxation.

Structure (extended XYZ):
```
10
Lattice="7.2958 0.0000 0.0000 0.0000 7.2958 0.0000 0.0000 0.0000 4.2785" Properties=species:S:1:pos:R:3 pbc="T T T"
Sn 6.0587 2.4108 2.1393
Sn 1.2371 4.8850 2.1393
Sn 2.4108 1.2371 2.1393
Sn 4.8850 6.0587 2.1393
Ag 2.6590 6.3069 0.0000
Ag 0.9889 2.6590 0.0000
Ag 4.6368 0.9889 0.0000
Ag 6.3069 4.6368 0.0000
As 3.6479 3.6479 0.0000
As 0.0000 0.0000 0.0000
```

Computed properties:
- Calculated formation energy: 0.142 eV/atom
- Polymorph energy (0 for the lowest one): 0.0000 eV/atom


VASP calculation (PBE) on La5ErTl6 after structural relaxation.

Structure (extended XYZ):
```
12
Lattice="-4.0209 -3.9116 0.0633 5.1232 -5.2215 2.7809 -4.0345 0.2522 7.9063" Properties=species:S:1:pos:R:3 pbc="T T T"
Tl -0.7836 -7.1643 4.7068
Tl -2.1485 -1.7165 6.0437
Tl 1.8553 -5.8955 2.1299
Tl -0.7529 -3.2375 0.7143
Tl 0.5048 -4.4209 7.4840
Tl -3.4370 -4.4599 3.2665
La -5.3747 -2.4346 5.3306
La -2.6806 -1.2247 2.6390
La -0.1477 -3.8041 4.1411
La -2.7844 -5.0767 6.6094
La 2.5616 -2.6107 1.3905
Er 0.0000 0.0000 0.0000
```

Computed properties:
- Calculated formation energy: -0.404 eV/atom


VASP calculation (PBE) on KMo2As after structural relaxation.

Structure (extended XYZ):
```
4
Lattice="4.8866 0.0000 0.0000 0.0000 2.7595 -0.0201 0.0000 -0.2483 6.5332" Properties=species:S:1:pos:R:3 pbc="T T T"
As 2.4433 0.6278 1.6283
K 2.4433 1.8834 4.8849
Mo 0.0000 0.2694 0.5245
Mo 0.0000 0.9862 2.7321
```

Computed properties:
- Calculated formation energy: 0.838 eV/atom


VASP calculation (PBE) on Nb2ZnFe2Co5 after structural relaxation.

Structure (extended XYZ):
```
20
Lattice="3.7452 0.0000 0.0000 0.0000 8.2224 0.0000 0.0000 0.0000 8.2224" Properties=species:S:1:pos:R:3 pbc="T T T"
Co 1.8726 0.0000 4.1112
Co 1.8726 6.5510 7.6449
Co 1.8726 4.1112 0.0000
Co 1.8726 4.6887 5.7826
Co 1.8726 7.6449 1.6714
Co 1.8726 2.4398 4.6887
Co 1.8726 5.7826 3.5337
Co 1.8726 1.6714 0.5775
Co 1.8726 0.5775 6.5510
Co 1.8726 3.5337 2.4398
Nb 0.0000 1.3663 2.7449
Nb 0.0000 6.8561 5.4775
Nb 0.0000 5.4775 1.3663
Nb 0.0000 2.7449 6.8561
Fe 0.0000 5.1953 7.1383
Fe 0.0000 1.0841 5.1953
Fe 0.0000 7.1383 3.0271
Fe 0.0000 3.0271 1.0841
Zn 0.0000 4.1112 4.1112
Zn 0.0000 0.0000 0.0000
```

Computed properties:
- Calculated formation energy: 0.018 eV/atom


VASP calculation (PBE) on Sr12Sn5O2 after structural relaxation.

Structure (extended XYZ):
```
19
Lattice="8.9077 0.0000 0.0000 -4.4539 8.5797 -0.0865 0.0000 -3.1223 9.9841" Properties=species:S:1:pos:R:3 pbc="T T T"
Sr 2.1248 0.9909 5.8343
Sr 4.4539 5.7569 8.0925
Sr -1.9750 3.2408 9.3103
Sr 2.4789 2.2166 0.5874
Sr 6.7829 0.9909 5.8343
Sr 2.3290 4.4665 4.0634
Sr 1.9750 3.2408 9.3103
Sr 4.4539 -1.9396 7.0804
Sr 6.4288 2.2166 0.5874
Sr -2.3290 4.4665 4.0634
Sr 0.0000 7.3970 2.8173
Sr 0.0000 -0.2995 1.8051
Sn 4.4539 1.0279 8.4557
Sn 4.4539 1.9237 3.4205
Sn 0.0000 4.4295 1.4420
Sn 0.0000 -1.5612 4.9921
Sn 0.0000 3.5337 6.4772
O 1.5932 0.0000 0.0000
O 7.3145 0.0000 0.0000
```

Computed properties:
- Raw formation energy: -0.9007 eV per atom


VASP calculation (PBE) on CrSi2Rh2 after structural relaxation.

Structure (extended XYZ):
```
10
Lattice="-3.7474 3.0516 5.0157 -5.6473 -3.5009 -2.0893 0.6272 -2.0277 1.7023" Properties=species:S:1:pos:R:3 pbc="T T T"
Rh -3.9025 -2.8309 0.2403
Rh -4.8649 0.3539 4.3885
Rh -1.8417 -0.4593 2.3059
Rh -6.9258 -2.0177 2.3229
Si -3.3034 1.4575 2.9532
Si -6.8602 0.3041 2.8898
Si -6.0913 -1.9067 -0.0268
Si -2.5345 -0.7533 0.0366
Cr -4.6973 -0.2246 1.4632
Cr 0.0000 0.0000 0.0000
```

Computed properties:
- Raw formation energy: -0.4198 eV per atom


Uncorrected energy for every record listed, in sequence, given in eV/atom: -3.529 -4.021 -6.015 -7.368 -3.538 -7.454.